Record 1
# AlCr2OsBr

A crystal of AlCr2OsBr relaxed with PBEsol (meta-GGA SCAN, Alexandria via LeMat-Bulk).

Values from the calculation:
Energy relative to the elements, uncorrected: 1.87 eV per atom
Magnetic moment: 1.9150 μB/atom

```
data_AlCr2OsBr
_chemical_formula_sum 'Al1 Cr2 Os1 Br1'
_cell_length_a 4.746
_cell_length_b 4.746
_cell_length_c 4.686
_cell_angle_alpha 90.00
_cell_angle_beta 90.00
_cell_angle_gamma 90.00
_space_group_name_H-M_alt 'P 4/m m m'
_space_group_IT_number 123
_space_group_name_Hall '-P 4 2'
loop_
_atom_site_label
_atom_site_type_symbol
_atom_site_fract_x
_atom_site_fract_y
_atom_site_fract_z
_atom_site_occupancy
Al1 Al 0.000 0.000 0.000 1
Cr1 Cr 0.000 0.500 0.000 1
Os1 Os 0.500 0.500 0.500 1
Br1 Br 0.000 0.000 0.500 1
```

***

Record 2
# MgReMo

A crystal of MgReMo relaxed with PBEsol (meta-GGA SCAN, Alexandria via LeMat-Bulk).

Values from the calculation:
E above lowest polymorph: 0.124 eV per atom
Magnetic moment: 0.0001 μB/atom

```
data_MgReMo
_chemical_formula_sum 'Mg1 Re1 Mo1'
_cell_length_a 2.8485
_cell_length_b 2.8485
_cell_length_c 6.8591
_cell_angle_alpha 90.00
_cell_angle_beta 90.00
_cell_angle_gamma 120.00
_space_group_name_H-M_alt 'P 3 m 1'
_space_group_IT_number 156
_space_group_name_Hall 'P 3 -2"'
loop_
_atom_site_label
_atom_site_type_symbol
_atom_site_fract_x
_atom_site_fract_y
_atom_site_fract_z
_atom_site_occupancy
Mg1 Mg 0.0000 0.0000 0.0000 1
Re1 Re 0.6667 0.3333 0.3428 1
Mo1 Mo 0.3333 0.6667 0.6382 1
```

***

Record 3
# LiPt3Cl

A crystal of LiPt3Cl relaxed with PBEsol (meta-GGA SCAN, Alexandria via LeMat-Bulk).

Values from the calculation:
E above lowest polymorph: 0.290 eV per atom
Energy relative to the elements, uncorrected: 1.03 eV per atom
Magnetic moment: 0.0007 μB/atom

```
data_LiPt3Cl
_chemical_formula_sum 'Li1 Pt3 Cl1'
_cell_length_a 4.277
_cell_length_b 4.277
_cell_length_c 4.277
_cell_angle_alpha 90.00
_cell_angle_beta 90.00
_cell_angle_gamma 90.00
_space_group_name_H-M_alt 'P m -3 m'
_space_group_IT_number 221
_space_group_name_Hall '-P 4 2 3'
loop_
_atom_site_label
_atom_site_type_symbol
_atom_site_fract_x
_atom_site_fract_y
_atom_site_fract_z
_atom_site_occupancy
Li1 Li 0.000 0.000 0.000 1
Pt1 Pt 0.000 0.000 0.500 1
Cl1 Cl 0.500 0.500 0.500 1
```

***

Record 4
# Tb7CoI12

A crystal of Tb7CoI12 relaxed with PBEsol (meta-GGA SCAN, Alexandria via LeMat-Bulk).

Values from the calculation:
Energy relative to the elements, uncorrected: -1.33 eV per atom
Magnetic moment: 0.0000 μB/atom

```
data_Tb7CoI12
_chemical_formula_sum 'Tb21 Co3 I36'
_cell_length_a 15.2246
_cell_length_b 15.2246
_cell_length_c 10.5829
_cell_angle_alpha 90.00
_cell_angle_beta 90.00
_cell_angle_gamma 120.00
_space_group_name_H-M_alt 'R -3'
_space_group_IT_number 148
_space_group_name_Hall '-R 3'
loop_
_atom_site_label
_atom_site_type_symbol
_atom_site_fract_x
_atom_site_fract_y
_atom_site_fract_z
_atom_site_occupancy
Tb1 Tb 0.0000 0.0000 0.0000 1
Tb2 Tb 0.0428 0.1567 0.3612 1
Co1 Co 0.0000 0.0000 0.5000 1
I1 I 0.0161 0.5871 0.1593 1
I2 I 0.0505 0.1825 0.8387 1
```

***

Record 5
# ScSiOs2

A crystal of ScSiOs2 relaxed with PBEsol (meta-GGA SCAN, Alexandria via LeMat-Bulk).

Values from the calculation:
Energy relative to the elements, uncorrected: -0.37 eV per atom
Magnetic moment: 0.0000 μB/atom

```
data_ScSiOs2
_chemical_formula_sum 'Sc1 Si1 Os2'
_cell_length_a 2.901
_cell_length_b 3.786
_cell_length_c 5.611
_cell_angle_alpha 90.00
_cell_angle_beta 103.52
_cell_angle_gamma 90.00
_space_group_name_H-M_alt 'P 1 2/m 1'
_space_group_IT_number 10
_space_group_name_Hall '-P 2y'
loop_
_atom_site_label
_atom_site_type_symbol
_atom_site_fract_x
_atom_site_fract_y
_atom_site_fract_z
_atom_site_occupancy
Sc1 Sc 0.000 0.000 0.000 1
Si1 Si 0.000 0.000 0.500 1
Os1 Os 0.369 0.500 0.718 1
```

***

Record 6
# Nd2Zn5Pb

A crystal of Nd2Zn5Pb relaxed with PBEsol (meta-GGA SCAN, Alexandria via LeMat-Bulk).

Values from the calculation:
Uncorrected energy: -29.330 eV/atom
Magnetic moment: 0.0000 μB/atom

```
data_Nd2Zn5Pb
_chemical_formula_sum 'Nd8 Zn20 Pb4'
_cell_length_a 4.392
_cell_length_b 16.417
_cell_length_c 8.994
_cell_angle_alpha 90.00
_cell_angle_beta 90.00
_cell_angle_gamma 90.00
_space_group_name_H-M_alt 'C m c m'
_space_group_IT_number 63
_space_group_name_Hall '-C 2c 2'
loop_
_atom_site_label
_atom_site_type_symbol
_atom_site_fract_x
_atom_site_fract_y
_atom_site_fract_z
_atom_site_occupancy
Nd1 Nd 0.000 0.000 0.000 1
Nd2 Nd 0.000 0.205 0.250 1
Zn1 Zn 0.000 0.185 0.610 1
Zn2 Zn 0.000 0.340 0.515 1
Zn3 Zn 0.000 0.391 0.250 1
Pb1 Pb 0.000 0.446 0.750 1
```

***

Record 7
# Lu2OsPd

A crystal of Lu2OsPd relaxed with PBEsol (meta-GGA SCAN, Alexandria via LeMat-Bulk).

Values from the calculation:
Uncorrected energy: -54.665 eV/atom
Magnetic moment: 0.0000 μB/atom

```
data_Lu2OsPd
_chemical_formula_sum 'Lu8 Os4 Pd4'
_cell_length_a 6.645
_cell_length_b 6.645
_cell_length_c 6.645
_cell_angle_alpha 90.00
_cell_angle_beta 90.00
_cell_angle_gamma 90.00
_space_group_name_H-M_alt 'F m -3 m'
_space_group_IT_number 225
_space_group_name_Hall '-F 4 2 3'
loop_
_atom_site_label
_atom_site_type_symbol
_atom_site_fract_x
_atom_site_fract_y
_atom_site_fract_z
_atom_site_occupancy
Lu1 Lu 0.250 0.250 0.250 1
Os1 Os 0.000 0.000 0.000 1
Pd1 Pd 0.000 0.000 0.500 1
```

***

Record 8
# ScNiPb

A crystal of ScNiPb relaxed with PBEsol (meta-GGA SCAN, Alexandria via LeMat-Bulk).

Values from the calculation:
Uncorrected energy: -35.499 eV/atom
Magnetic moment: 0.0000 μB/atom

```
data_ScNiPb
_chemical_formula_sum 'Sc1 Ni1 Pb1'
_cell_length_a 3.6373
_cell_length_b 3.6373
_cell_length_c 5.3768
_cell_angle_alpha 90.00
_cell_angle_beta 90.00
_cell_angle_gamma 120.00
_space_group_name_H-M_alt 'P 3 m 1'
_space_group_IT_number 156
_space_group_name_Hall 'P 3 -2"'
loop_
_atom_site_label
_atom_site_type_symbol
_atom_site_fract_x
_atom_site_fract_y
_atom_site_fract_z
_atom_site_occupancy
Sc1 Sc 0.0000 0.0000 0.0000 1
Ni1 Ni 0.3333 0.6667 0.7402 1
Pb1 Pb 0.6667 0.3333 0.4451 1
```

***

Record 9
# FeCuSi2

A crystal of FeCuSi2 relaxed with PBEsol (meta-GGA SCAN, Alexandria via LeMat-Bulk).

Values from the calculation:
Energy relative to the elements, uncorrected: 0.02 eV per atom
Magnetic moment: 0.2234 μB/atom

```
data_FeCuSi2
_chemical_formula_sum 'Fe2 Cu2 Si4'
_cell_length_a 3.653
_cell_length_b 3.653
_cell_length_c 6.703
_cell_angle_alpha 90.00
_cell_angle_beta 90.00
_cell_angle_gamma 90.00
_space_group_name_H-M_alt 'I 4/m m m'
_space_group_IT_number 139
_space_group_name_Hall '-I 4 2'
loop_
_atom_site_label
_atom_site_type_symbol
_atom_site_fract_x
_atom_site_fract_y
_atom_site_fract_z
_atom_site_occupancy
Fe1 Fe 0.000 0.000 0.000 1
Cu1 Cu 0.000 0.000 0.500 1
Si1 Si 0.000 0.500 0.250 1
```

***

Record 10
# FeIr2

A crystal of FeIr2 relaxed with PBEsol (meta-GGA SCAN, Alexandria via LeMat-Bulk).

Values from the calculation:
Uncorrected energy: -53.546 eV/atom
Magnetic moment: 0.9780 μB/atom

```
data_FeIr2
_chemical_formula_sum 'Fe4 Ir8'
_cell_length_a 9.649
_cell_length_b 2.685
_cell_length_c 6.250
_cell_angle_alpha 90.00
_cell_angle_beta 104.73
_cell_angle_gamma 90.00
_space_group_name_H-M_alt 'C 1 2/m 1'
_space_group_IT_number 12
_space_group_name_Hall '-C 2y'
loop_
_atom_site_label
_atom_site_type_symbol
_atom_site_fract_x
_atom_site_fract_y
_atom_site_fract_z
_atom_site_occupancy
Fe1 Fe 0.029 0.000 0.307 1
Ir1 Ir 0.137 0.500 0.029 1
Ir2 Ir 0.188 0.500 0.632 1
```

***

Record 11
# BaLaSe2

A crystal of BaLaSe2 relaxed with PBEsol (meta-GGA SCAN, Alexandria via LeMat-Bulk).

Values from the calculation:
E above lowest polymorph: 0.000 eV per atom
Energy relative to the elements, uncorrected: -2.23 eV per atom
Magnetic moment: 0.0000 μB/atom

```
data_BaLaSe2
_chemical_formula_sum 'Ba3 La3 Se6'
_cell_length_a 4.3920
_cell_length_b 4.3920
_cell_length_c 22.0445
_cell_angle_alpha 90.00
_cell_angle_beta 90.00
_cell_angle_gamma 120.00
_space_group_name_H-M_alt 'R -3 m'
_space_group_IT_number 166
_space_group_name_Hall '-R 3 2"'
loop_
_atom_site_label
_atom_site_type_symbol
_atom_site_fract_x
_atom_site_fract_y
_atom_site_fract_z
_atom_site_occupancy
Ba1 Ba 0.0000 0.0000 0.0000 1
La1 La 0.0000 0.0000 0.5000 1
Se1 Se 0.0000 0.0000 0.2420 1
```

***

Record 12
# V6O7F5

A crystal of V6O7F5 relaxed with PBEsol (meta-GGA SCAN, Alexandria via LeMat-Bulk).

Values from the calculation:
E above lowest polymorph: 0.008 eV per atom
Energy relative to the elements, uncorrected: -2.88 eV per atom
Magnetic moment: 0.6111 μB/atom

```
data_V6O7F5
_chemical_formula_sum 'V6 O7 F5'
_cell_length_a 5.475
_cell_length_b 5.492
_cell_length_c 7.193
_cell_angle_alpha 71.44
_cell_angle_beta 70.92
_cell_angle_gamma 72.43
_space_group_name_H-M_alt 'P 1'
_space_group_IT_number 1
_space_group_name_Hall 'P 1'
loop_
_atom_site_label
_atom_site_type_symbol
_atom_site_fract_x
_atom_site_fract_y
_atom_site_fract_z
_atom_site_occupancy
V1 V 0.000 0.000 0.000 1
V2 V 0.008 0.014 0.510 1
V3 V 0.302 0.371 0.663 1
V4 V 0.344 0.368 0.154 1
V5 V 0.659 0.637 0.832 1
V6 V 0.724 0.668 0.351 1
O1 O 0.016 0.653 0.673 1
O2 O 0.105 0.113 0.706 1
O3 O 0.299 0.711 0.996 1
O4 O 0.569 0.568 0.628 1
O5 O 0.705 0.297 0.000 1
O6 O 0.914 0.912 0.306 1
O7 O 0.996 0.374 0.335 1
F1 F 0.234 0.245 0.967 1
F2 F 0.388 0.977 0.332 1
F3 F 0.449 0.455 0.360 1
F4 F 0.627 0.044 0.674 1
F5 F 0.762 0.764 0.041 1
```